Here is ThMg2MnN4 after structural relaxation from Alexandria via LeMat-Bulk. Energies are from PBE.

Cell lengths 3.329, 5.843, 10.530 Å; angles 90.00, 90.00, 106.55 degrees
Atoms (fractional coordinates):
Th  0.084  0.169  0.750
Th  0.916  0.831  0.250
Mg  0.381  0.762  0.540
Mg  0.619  0.238  0.040
Mg  0.619  0.238  0.460
Mg  0.381  0.762  0.960
Mn  0.821  0.642  0.750
Mn  0.179  0.358  0.250
N  0.281  0.562  0.126
N  0.719  0.438  0.626
N  0.719  0.438  0.874
N  0.281  0.562  0.374
N  0.000  0.000  0.500
N  0.000  0.000  0.000
N  0.411  0.822  0.750
N  0.589  0.178  0.250

Results
crystal system = orthorhombic
ΔE_f (raw) = -762 meV per atom